No. 1
9
Lattice="6.514 -1.861 0.000 6.514 1.861 0.000 -6.352 0.000 13.223" Properties=species:S:1:pos:R:3 comment="PBE La4Pm3Er2, optimized geometry" formation_enthalpy_0k_ev_per_atom=0.0866 dos_at_fermi_per_ev_atom=1.620 crystal_system=monoclinic space_group="No. 12" polymorph_energy_ev_per_atom=0.061 energy_ev_per_atom=-4.7008 pbc="T T T"
La 2.169 0.000 1.387
La -0.345 0.000 8.301
La 7.022 0.000 4.923
La 4.509 0.000 11.837
Pm 5.741 0.000 1.532
Pm 3.339 0.000 6.612
Pm 0.936 0.000 11.692
Er -3.832 0.000 9.389
Er 10.509 0.000 3.834

=====

No. 2
11
Lattice="6.833 -3.050 0.000 6.833 3.050 0.000 -2.763 0.000 8.065" Properties=species:S:1:pos:R:3 comment="PBE Er5Te5Pd, optimized geometry" formation_energy_uncorrected_ev_per_fu=-13.1 dos_at_fermi_per_ev_atom=0.903 crystal_system=monoclinic space_group="No. 12" energy_ev_per_atom=-5.1667 pbc="T T T"
Er 0.000 0.000 0.000
Er 2.843 0.000 5.522
Er 4.327 0.000 1.253
Er 6.576 0.000 6.812
Er 8.060 0.000 2.543
Te -0.013 0.000 6.669
Te 1.555 0.000 2.691
Te 5.452 0.000 4.032
Te 9.348 0.000 5.374
Te 10.916 0.000 1.396
Pd 6.833 0.000 0.000

=====

No. 3
8
Lattice="2.331 1.346 9.565 -2.331 1.346 9.565 0.000 -2.691 9.565" Properties=species:S:1:pos:R:3 comment="PBE AcIn2BiPd4, optimized geometry" formation_enthalpy_0k_ev_per_atom=-0.5234 dos_at_fermi_per_ev_atom=0.733 crystal_system=trigonal space_group="No. 166" energy_ev_per_atom=-4.8031 pbc="T T T"
Ac 0.000 0.000 0.000
In 0.000 0.000 7.066
In 0.000 0.000 21.629
Bi 0.000 0.000 14.347
Pd 0.000 0.000 3.270
Pd 0.000 0.000 11.408
Pd 0.000 0.000 17.287
Pd 0.000 0.000 25.424

=====

No. 4
8
Lattice="4.287 -6.015 0.000 4.287 6.015 0.000 0.000 0.000 4.213" Properties=species:S:1:pos:R:3 comment="PBE La3HoSe4, optimized geometry" formation_energy_uncorrected_ev_per_fu=-15.4 dos_at_fermi_per_ev_atom=0.687 crystal_system=orthorhombic space_group="No. 65" polymorph_energy_ev_per_atom=0.003 energy_ev_per_atom=-6.0863 pbc="T T T"
La 0.000 0.000 0.000
La 2.143 3.008 2.107
La 2.143 -3.008 2.107
Ho 4.287 0.000 0.000
Se 4.287 2.916 0.000
Se 2.271 0.000 2.107
Se 6.303 0.000 2.107
Se 4.287 -2.916 0.000

=====

No. 5
12
Lattice="4.312 0.000 0.000 -0.224 5.564 0.000 -0.742 -0.045 7.756" Properties=species:S:1:pos:R:3 comment="PBE BaCd2CuF8, optimized geometry" formation_energy_uncorrected_ev_per_fu=-28.8 crystal_system=triclinic space_group="No. 2" energy_ev_per_atom=-4.3035 pbc="T T T"
Ba 0.000 0.000 0.000
Cd 1.227 2.751 5.744
Cd 2.119 2.769 2.012
Cu -0.371 -0.022 3.878
F -0.015 3.492 1.804
F 0.140 4.798 5.436
F 0.961 1.433 3.874
F 2.073 1.500 0.044
F 1.273 4.020 7.712
F 2.385 4.087 3.882
F 3.206 0.721 2.321
F 3.361 2.028 5.952

=====

No. 6
8
Lattice="-1.846 1.846 9.177 1.846 -1.846 9.177 1.846 1.846 -9.177" Properties=species:S:1:pos:R:3 comment="PBE MgTiCr2, optimized geometry" formation_enthalpy_0k_ev_per_atom=0.8480 dos_at_fermi_per_ev_atom=1.523 crystal_system=tetragonal space_group="No. 122" energy_ev_per_atom=-6.3361 pbc="T T T"
Mg 0.000 0.000 0.000
Mg 0.000 1.846 4.589
Ti 1.846 0.000 4.589
Ti 0.000 0.000 9.177
Cr 0.923 -0.728 6.883
Cr 1.117 0.923 2.294
Cr 0.923 2.574 -2.294
Cr 0.728 0.923 11.471

=====

No. 7
18
Lattice="9.962 0.000 0.000 0.000 9.962 0.000 0.000 0.000 7.150" Properties=species:S:1:pos:R:3 comment="PBE Ac4TlPb4, optimized geometry" formation_enthalpy_0k_ev_per_atom=-0.3892 dos_at_fermi_per_ev_atom=0.629 crystal_system=tetragonal space_group="No. 86" energy_ev_per_atom=-4.1262 pbc="T T T"
Ac 0.108 7.478 0.278
Ac 2.484 5.089 3.853
Ac 2.497 9.855 3.853
Ac 4.874 7.465 0.278
Ac 5.089 2.497 6.872
Ac 7.465 0.108 3.297
Ac 7.478 4.874 3.297
Ac 9.855 2.484 6.872
Tl 2.491 2.491 1.787
Tl 7.472 7.472 5.362
Pb 0.029 7.479 3.686
Pb 2.483 5.010 0.111
Pb 2.498 9.933 0.111
Pb 4.952 7.465 3.686
Pb 5.010 2.498 3.464
Pb 7.465 0.029 7.038
Pb 7.479 4.952 7.038
Pb 9.933 2.483 3.464

=====

No. 8
12
Lattice="9.543 -2.167 0.000 9.543 2.167 0.000 -2.149 0.000 8.530" Properties=species:S:1:pos:R:3 comment="PBE Sm3Ho2ScTe6, optimized geometry" formation_energy_uncorrected_ev_per_fu=-15.5 dos_at_fermi_per_ev_atom=0.546 crystal_system=monoclinic space_group="No. 12" energy_ev_per_atom=-5.3298 pbc="T T T"
Sm 0.000 0.000 0.000
Sm 4.861 0.000 5.657
Sm 12.076 0.000 2.874
Ho 6.009 0.000 1.425
Ho 10.928 0.000 7.106
Sc -1.074 0.000 4.265
Te 1.783 0.000 5.001
Te 3.051 0.000 0.672
Te 8.972 0.000 2.255
Te 7.965 0.000 6.275
Te 13.886 0.000 7.859
Te 15.153 0.000 3.529

=====

No. 9
5
Lattice="3.624 0.000 0.000 0.000 3.624 0.000 0.000 0.000 4.847" Properties=species:S:1:pos:R:3 comment="PBE VCoSeN2, optimized geometry" formation_energy_uncorrected_ev_per_fu=5.1 dos_at_fermi_per_ev_atom=1.564 crystal_system=tetragonal space_group="No. 123" polymorph_energy_ev_per_atom=0.477 energy_ev_per_atom=-6.2472 pbc="T T T"
V 0.000 0.000 0.000
Co 1.812 1.812 2.424
Se 1.812 1.812 0.000
N 0.000 1.812 2.424
N 1.812 0.000 2.424

=====

No. 10
8
Lattice="-2.153 2.153 6.768 2.153 -2.153 6.768 2.153 2.153 -6.768" Properties=species:S:1:pos:R:3 comment="PBE SrZnC2, optimized geometry" formation_enthalpy_0k_ev_per_atom=1.1211 dos_at_fermi_per_ev_atom=0.394 crystal_system=tetragonal space_group="No. 141" energy_ev_per_atom=-4.2298 pbc="T T T"
Sr 2.153 1.077 1.692
Sr 0.000 1.077 5.076
Zn 2.153 -1.077 5.076
Zn 0.000 3.230 1.692
C 0.000 0.000 0.000
C 1.077 1.077 -3.384
C 1.077 -1.077 3.384
C 0.000 2.153 0.000

=====

No. 11
9
Lattice="5.163 -2.237 0.000 5.163 2.237 0.000 -3.782 0.000 7.545" Properties=species:S:1:pos:R:3 comment="PBE Sc3Zn4Sn2, optimized geometry" formation_enthalpy_0k_ev_per_atom=-0.4304 dos_at_fermi_per_ev_atom=0.543 crystal_system=monoclinic space_group="No. 12" energy_ev_per_atom=-3.9966 pbc="T T T"
Sc 0.000 0.000 0.000
Sc 2.213 0.000 2.489
Sc 4.330 0.000 5.056
Zn -1.099 0.000 2.835
Zn -0.900 0.000 7.092
Zn 7.443 0.000 0.453
Zn 7.642 0.000 4.710
Sn 1.227 0.000 5.441
Sn 5.317 0.000 2.104

=====

No. 12
4
Lattice="-1.715 2.542 5.168 1.715 -2.542 5.168 1.715 2.542 -5.168" Properties=species:S:1:pos:R:3 comment="PBE BaNiAg2, optimized geometry" formation_enthalpy_0k_ev_per_atom=0.1609 dos_at_fermi_per_ev_atom=0.402 crystal_system=orthorhombic space_group="No. 71" polymorph_energy_ev_per_atom=0.158 energy_ev_per_atom=-3.1908 pbc="T T T"
Ba 0.000 0.000 0.000
Ni 0.000 0.000 5.168
Ag 1.715 0.000 3.036
Ag 0.000 2.542 2.132

=====

No. 13
15
Lattice="7.281 -4.200 0.000 7.281 4.200 0.000 -4.856 0.000 7.302" Properties=species:S:1:pos:R:3 comment="PBE Ba3PmPr3S8, optimized geometry" formation_energy_uncorrected_ev_per_fu=-30.7 dos_at_fermi_per_ev_atom=0.250 crystal_system=monoclinic space_group="No. 12" energy_ev_per_atom=-5.9058 pbc="T T T"
Ba 0.000 0.000 0.000
Ba 3.641 2.100 0.000
Ba 3.641 -2.100 0.000
Pm -2.428 0.000 3.651
Pr 1.213 2.100 3.651
Pr 1.213 -2.100 3.651
Pr 4.853 0.000 3.651
S -0.045 0.000 5.221
S 3.661 2.138 5.220
S 6.045 2.138 2.082
S 2.427 0.000 2.022
S 7.279 0.000 5.281
S 3.661 -2.138 5.220
S 6.045 -2.138 2.082
S 9.752 0.000 2.081

=====

No. 14
16
Lattice="5.611 0.000 0.000 0.000 5.611 0.000 0.000 0.000 7.865" Properties=species:S:1:pos:R:3 comment="PBE CrPt14W, optimized geometry" formation_enthalpy_0k_ev_per_atom=-0.1780 dos_at_fermi_per_ev_atom=1.447 crystal_system=tetragonal space_group="No. 123" energy_ev_per_atom=-6.8747 pbc="T T T"
Cr 0.000 0.000 0.000
Pt 0.000 0.000 3.932
Pt 0.000 2.805 0.000
Pt 0.000 2.805 3.932
Pt 1.404 1.404 1.899
Pt 1.404 1.404 5.966
Pt 1.404 4.207 1.899
Pt 1.404 4.207 5.966
Pt 2.805 0.000 0.000
Pt 2.805 0.000 3.932
Pt 2.805 2.805 3.932
Pt 4.207 1.404 1.899
Pt 4.207 1.404 5.966
Pt 4.207 4.207 1.899
Pt 4.207 4.207 5.966
W 2.805 2.805 0.000

=====

No. 15
28
Lattice="6.734 -3.943 0.000 6.734 3.943 0.000 0.000 0.000 9.351" Properties=species:S:1:pos:R:3 comment="PBE Ca2Al3Zn9, optimized geometry" formation_enthalpy_0k_ev_per_atom=-0.1936 dos_at_fermi_per_ev_atom=0.204 crystal_system=orthorhombic space_group="No. 63" energy_ev_per_atom=-2.1005 pbc="T T T"
Ca 4.553 2.644 7.013
Ca 8.915 2.644 7.013
Ca 4.553 -2.644 2.338
Ca 8.915 -2.644 2.338
Al 0.000 0.000 0.000
Al 0.000 0.000 4.675
Al 4.273 0.000 0.000
Al 4.273 0.000 4.675
Al 9.195 0.000 0.000
Al 9.195 0.000 4.675
Zn 4.587 2.527 0.831
Zn 4.587 2.527 3.844
Zn 6.734 2.816 2.338
Zn 8.882 2.527 0.831
Zn 8.882 2.527 3.844
Zn 6.734 1.266 5.192
Zn 6.734 1.266 8.834
Zn 5.446 0.440 2.338
Zn 5.446 -0.440 7.013
Zn 8.022 0.440 2.338
Zn 8.022 -0.440 7.013
Zn 6.734 -1.266 0.516
Zn 6.734 -1.266 4.159
Zn 4.587 -2.527 5.506
Zn 4.587 -2.527 8.520
Zn 6.734 -2.816 7.013
Zn 8.882 -2.527 5.506
Zn 8.882 -2.527 8.520